1.
In3Se | GGA-PBE | optimized geometry

Lattice parameters (Å, degrees): 3.815 3.906 7.595 90.00 90.00 90.00
Fractional coordinates of all 4 atoms:
In 0.000 0.000 0.000
In 0.000 0.500 0.457
In 0.500 0.500 0.791
Se 0.500 0.000 0.293

2.
In23Se28 | GGA-PBE | optimized geometry

Lattice parameters (Å, degrees): 10.426 10.426 18.704 107.67 107.67 46.37
Fractional coordinates of all 51 atoms:
In 0.000 0.000 0.000
In 0.067 0.568 0.731
In 0.107 0.107 0.414
In 0.112 0.613 0.070
In 0.136 0.136 0.649
In 0.191 0.693 0.554
In 0.225 0.724 0.789
In 0.228 0.228 0.143
In 0.264 0.264 0.472
In 0.335 0.835 0.209
In 0.442 0.943 0.880
In 0.501 0.501 0.002
In 0.568 0.067 0.731
In 0.604 0.604 0.415
In 0.613 0.112 0.070
In 0.636 0.636 0.648
In 0.693 0.191 0.554
In 0.724 0.225 0.789
In 0.724 0.724 0.137
In 0.762 0.762 0.472
In 0.835 0.335 0.209
In 0.893 0.893 0.331
In 0.943 0.442 0.880
Se 0.023 0.023 0.510
Se 0.049 0.049 0.875
Se 0.070 0.578 0.195
Se 0.074 0.577 0.420
Se 0.154 0.652 0.945
Se 0.180 0.180 0.262
Se 0.254 0.254 0.786
Se 0.258 0.258 0.011
Se 0.280 0.784 0.329
Se 0.307 0.808 0.695
Se 0.360 0.859 0.072
Se 0.374 0.374 0.607
Se 0.456 0.957 0.600
Se 0.471 0.471 0.135
Se 0.523 0.523 0.512
Se 0.550 0.550 0.875
Se 0.577 0.074 0.420
Se 0.578 0.070 0.195
Se 0.652 0.154 0.945
Se 0.681 0.681 0.261
Se 0.753 0.753 0.785
Se 0.759 0.759 0.007
Se 0.784 0.280 0.329
Se 0.808 0.307 0.695
Se 0.859 0.360 0.072
Se 0.873 0.873 0.608
Se 0.957 0.456 0.600
Se 0.972 0.972 0.134

3.
In4Se | GGA-PBE | optimized geometry

Lattice parameters (Å, degrees): 6.287 6.287 6.287 94.94 94.94 145.86
Fractional coordinates of all 5 atoms:
In 0.089 0.720 0.808
In 0.280 0.089 0.369
In 0.720 0.911 0.631
In 0.911 0.280 0.192
Se 0.500 0.500 0.000

Computed properties:
ΔE to the lowest computed polymorph	0	meV/atom

Uncorrected formation energy (computed, eV per atom): -0.14; -0.48; -0.11
Raw total energy (computed, eV for the cell shown): -12.3; -184.9; -15.0